(P)
Ac2AlZn5: relaxed, PBE.

```
data_Ac2AlZn5
_cell_length_a 6.0995
_cell_length_b 6.0995
_cell_length_c 10.7177
_cell_angle_alpha 90.00
_cell_angle_beta 90.00
_cell_angle_gamma 90.00
_symmetry_space_group_name_H-M 'I 4 m m'
_symmetry_Int_Tables_number 107
_symmetry_space_group_name_Hall 'I 4 -2'
loop_
_atom_site_label
_atom_site_fract_x
_atom_site_fract_y
_atom_site_fract_z
Ac1 0.0000 0.5000 0.0000
Al1 0.0000 0.0000 0.1457
Zn1 0.0000 0.0000 0.9001
Zn2 0.2249 0.2249 0.7428
```

Results
Density of states at the Fermi level = 0.630 states/eV/atom

---

(Q)
Ac2AlZn5: relaxed, PBE.

```
data_Ac2AlZn5
_cell_length_a 4.7054
_cell_length_b 16.9819
_cell_length_c 9.1859
_cell_angle_alpha 90.00
_cell_angle_beta 90.00
_cell_angle_gamma 90.00
_symmetry_space_group_name_H-M 'C m c m'
_symmetry_Int_Tables_number 63
_symmetry_space_group_name_Hall '-C 2c 2'
loop_
_atom_site_label
_atom_site_fract_x
_atom_site_fract_y
_atom_site_fract_z
Ac1 0.0000 0.0000 0.0000
Ac2 0.0000 0.2103 0.2500
Al1 0.0000 0.4382 0.7500
Zn1 0.0000 0.1829 0.6080
Zn2 0.0000 0.3510 0.5157
Zn3 0.0000 0.4091 0.2500
```

Results
Density of states at the Fermi level = 0.655 states/eV/atom

---

Of the structures shown above, (P) is the least stable.